# 1
This record from Alexandria describes an optimized crystal structure of Mg2ZrSb. The functional is PBE.

Cell: 5.009 3.210 5.901 Å, 74.89 90.00 90.00°
Element x y z (fractional)
Mg1 0.000 0.106 0.997
Mg2 0.000 0.394 0.503
Sb1 0.500 0.250 0.250
Zr1 0.500 0.750 0.750

Values from the calculation:
VASP energy in eV/atom: -4.0773
Raw formation energy in eV/f.u.: -0.45
M_tot in μB/cell: 0.000

---

# 2
This record from Alexandria describes an optimized crystal structure of Mg2ZrSb2. The functional is PBE.

Cell: 7.664 7.664 4.128 Å, 90.00 90.00 90.00°
Element x y z (fractional)
Sb1 0.347 0.847 0.000
Sb2 0.847 0.653 0.000
Sb3 0.653 0.153 0.000
Sb4 0.153 0.347 0.000
Mg1 0.155 0.655 0.500
Mg2 0.655 0.845 0.500
Mg3 0.845 0.345 0.500
Mg4 0.345 0.155 0.500
Zr1 0.000 0.000 0.000
Zr2 0.500 0.500 0.000

Values from the calculation:
VASP energy in eV/atom: -4.2766
Raw formation energy in eV/f.u.: -1.40
M_tot in μB/cell: 0.000

---

# 3
This record from Alexandria describes an optimized crystal structure of Mg2ZrSb. The functional is PBE.

Cell: 5.712 5.975 3.144 Å, 80.88 77.36 114.86°
Element x y z (fractional)
Mg1 0.000 0.000 0.000
Mg2 0.500 0.000 0.500
Sb1 0.000 0.500 0.500
Zr1 0.500 0.500 0.000

Values from the calculation:
VASP energy in eV/atom: -4.1208
Raw formation energy in eV/f.u.: -0.62
M_tot in μB/cell: 0.000

---

# 4
This record from Alexandria describes an optimized crystal structure of MgZrSb2. The functional is PBE.

Cell: 4.196 4.196 7.339 Å, 73.39 73.39 60.00°
Element x y z (fractional)
Mg1 0.499 0.499 0.502
Zr1 0.667 0.667 0.000
Sb1 0.081 0.081 0.756
Sb2 0.253 0.253 0.241

Values from the calculation:
VASP energy in eV/atom: -4.9747
Raw formation energy in eV/f.u.: -1.51
M_tot in μB/cell: 0.000

---

# 5
This record from Alexandria describes an optimized crystal structure of MgZrSb2. The functional is PBE.

Cell: 5.894 5.913 5.990 Å, 97.28 96.95 109.04°
Element x y z (fractional)
Mg1 0.738 0.923 0.079
Mg2 0.262 0.077 0.921
Zr1 0.673 0.447 0.698
Zr2 0.327 0.553 0.302
Sb1 0.229 0.571 0.803
Sb2 0.771 0.429 0.197
Sb3 0.235 0.039 0.411
Sb4 0.765 0.961 0.589

Values from the calculation:
VASP energy in eV/atom: -4.9842
Raw formation energy in eV/f.u.: -1.55
M_tot in μB/cell: 0.000

---

# 6
This record from Alexandria describes an optimized crystal structure of Mg2ZrSb. The functional is PBE.

Cell: 4.363 4.363 4.555 Å, 90.00 90.00 90.00°
Element x y z (fractional)
Mg1 0.000 0.000 0.000
Mg2 0.500 0.500 0.000
Sb1 0.500 0.000 0.500
Zr1 0.000 0.500 0.500

Values from the calculation:
VASP energy in eV/atom: -4.2090
Raw formation energy in eV/f.u.: -0.98
M_tot in μB/cell: 0.001